Entry A
An optimized crystal structure of La2Tb3Y6. Source: Alexandria via LeMat-Bulk, functional GGA-PBE.

Calculated volume ... 768 Å³/cell

Lattice parameters (Å, degrees): 6.1630 10.6856 11.8434 90.00 100.03 90.00
Space group C2/m (No. 12)
Inequivalent atoms, fractional coordinates:
1 La 0.0000 0.1673 0.0000 (multiplicity 4)
2 Tb 0.0000 0.0000 0.5000 (multiplicity 2)
3 Tb 0.0000 0.3353 0.5000 (multiplicity 4)
4 Y 0.2482 0.5000 0.7454 (multiplicity 4)
5 Y 0.2487 0.1664 0.7455 (multiplicity 8)

***

Entry B
An optimized crystal structure of La2Tb3Y6. Source: Alexandria via LeMat-Bulk, functional GGA-PBE.

Calculated volume ... 1086 Å³/cell

Lattice parameters (Å, degrees): 3.6040 3.6040 96.5625 90.00 90.00 120.00
Space group R-3m (No. 166, hexagonal axes)
Inequivalent atoms, fractional coordinates:
1 La 0.0000 0.0000 0.0460 (multiplicity 6)
2 Tb 0.0000 0.0000 0.2266 (multiplicity 6)
3 Tb 0.0000 0.0000 0.5000 (multiplicity 3)
4 Y 0.0000 0.0000 0.1367 (multiplicity 6)
5 Y 0.0000 0.0000 0.3184 (multiplicity 6)
6 Y 0.0000 0.0000 0.4103 (multiplicity 6)

***

Least stable = entry A

***

Entry A
An optimized crystal structure of La2TbY7. Source: Alexandria via LeMat-Bulk, functional GGA-PBE.

Calculated volume ... 332 Å³/cell

Lattice parameters (Å, degrees): 6.2308 7.2005 8.0879 77.05 74.93 73.74
Space group P-1 (No. 2)
Inequivalent atoms, fractional coordinates:
1 La 0.1982 0.2990 0.1038 (multiplicity 2)
2 Tb 0.0000 0.5000 0.5000 (multiplicity 1)
3 Y 0.0000 0.0000 0.5000 (multiplicity 1)
4 Y 0.1982 0.7992 0.1025 (multiplicity 2)
5 Y 0.3987 0.1015 0.6972 (multiplicity 2)
6 Y 0.3990 0.6003 0.6972 (multiplicity 2)

***

Entry B
An optimized crystal structure of La2TbY7. Source: Alexandria via LeMat-Bulk, functional GGA-PBE.

Calculated volume ... 682 Å³/cell

Lattice parameters (Å, degrees): 6.6089 29.1914 3.5332 90.00 90.00 90.00
Space group Cmmm (No. 65)
Inequivalent atoms, fractional coordinates:
1 La 0.0000 0.2059 0.0000 (multiplicity 4)
2 Tb 0.0000 0.5000 0.5000 (multiplicity 2)
3 Y 0.0000 0.0000 0.0000 (multiplicity 2)
4 Y 0.0000 0.3150 0.5000 (multiplicity 4)
5 Y 0.2446 0.4026 0.0000 (multiplicity 8)

***

Least stable = entry B

***

Entry A
An optimized crystal structure of La2Tb4Y5. Source: Alexandria via LeMat-Bulk, functional GGA-PBE.

Calculated volume ... 746 Å³/cell

Lattice parameters (Å, degrees): 16.6558 6.7267 6.7476 90.00 99.44 90.00
Space group C2/m (No. 12)
Inequivalent atoms, fractional coordinates:
1 La 0.2016 0.0000 0.2969 (multiplicity 4)
2 Tb 0.0858 0.5000 0.4036 (multiplicity 4)
3 Tb 0.2443 0.0000 0.8032 (multiplicity 4)
4 Y 0.0000 0.0000 0.5000 (multiplicity 2)
5 Y 0.0890 0.2614 0.9074 (multiplicity 8)

***

Entry B
An optimized crystal structure of La2Tb4Y5. Source: Alexandria via LeMat-Bulk, functional GGA-PBE.

Calculated volume ... 734 Å³/cell

Lattice parameters (Å, degrees): 24.1432 3.4566 8.8453 90.00 96.27 90.00
Space group C2/m (No. 12)
Inequivalent atoms, fractional coordinates:
1 La 0.0905 0.0000 0.2405 (multiplicity 4)
2 Tb 0.0466 0.0000 0.8615 (multiplicity 4)
3 Tb 0.1786 0.5000 0.9720 (multiplicity 4)
4 Y 0.0000 0.5000 0.5000 (multiplicity 2)
5 Y 0.1410 0.0000 0.6217 (multiplicity 4)
6 Y 0.2330 0.0000 0.3249 (multiplicity 4)

***

Least stable = entry A

***

Entry A
An optimized crystal structure of La8Tb3Y2. Source: Alexandria via LeMat-Bulk, functional GGA-PBE.

Calculated volume ... 939 Å³/cell

Lattice parameters (Å, degrees): 20.6728 7.7421 5.8640 90.00 90.02 90.00
Space group C2/m (No. 12)
Inequivalent atoms, fractional coordinates:
1 La 0.1048 0.2008 0.0001 (multiplicity 8)
2 La 0.1311 0.5000 0.4995 (multiplicity 4)
3 La 0.1740 0.0000 0.5007 (multiplicity 4)
4 Tb 0.0000 0.2178 0.5000 (multiplicity 4)
5 Tb 0.0000 0.5000 0.0000 (multiplicity 2)
6 Y 0.2401 0.5000 0.9992 (multiplicity 4)

***

Entry B
An optimized crystal structure of La8Tb3Y2. Source: Alexandria via LeMat-Bulk, functional GGA-PBE.

Calculated volume ... 924 Å³/cell

Lattice parameters (Å, degrees): 13.6518 11.8821 6.1659 90.00 112.54 90.00
Space group C2/m (No. 12)
Inequivalent atoms, fractional coordinates:
1 La 0.0850 0.0000 0.2351 (multiplicity 4)
2 La 0.1391 0.5000 0.6083 (multiplicity 4)
3 La 0.1608 0.2596 0.1498 (multiplicity 8)
4 Tb 0.0000 0.2270 0.5000 (multiplicity 4)
5 Tb 0.0000 0.5000 0.0000 (multiplicity 2)
6 Y 0.1888 0.0000 0.8174 (multiplicity 4)

***

Least stable = entry A

***

Entry A
An optimized crystal structure of La7Tb12Y. Source: Alexandria via LeMat-Bulk, functional GGA-PBE.

Calculated volume ... 2085 Å³/cell

Lattice parameters (Å, degrees): 12.1402 12.1402 16.3376 90.00 90.00 120.00
Space group R-3 (No. 148, hexagonal axes)
Inequivalent atoms, fractional coordinates:
1 La 0.0000 0.0000 0.0000 (multiplicity 3)
2 La 0.0524 0.8708 0.2859 (multiplicity 18)
3 Tb 0.0266 0.5783 0.2222 (multiplicity 18)
4 Tb 0.0515 0.4655 0.5832 (multiplicity 18)
5 Y 0.0000 0.0000 0.5000 (multiplicity 3)

***

Entry B
An optimized crystal structure of La7Tb12Y. Source: Alexandria via LeMat-Bulk, functional GGA-PBE.

Calculated volume ... 1480 Å³/cell

Lattice parameters (Å, degrees): 11.3970 11.3970 11.3970 90.00 90.00 90.00
Space group Im-3m (No. 229)
Inequivalent atoms, fractional coordinates:
1 La 0.0000 0.0000 0.5000 (multiplicity 6)
2 La 0.2500 0.2500 0.2500 (multiplicity 8)
3 Tb 0.0000 0.2472 0.2472 (multiplicity 24)
4 Y 0.0000 0.0000 0.0000 (multiplicity 2)

***

Least stable = entry B

***

Entry A
An optimized crystal structure of LaTb4Y7. Source: Alexandria via LeMat-Bulk, functional GGA-PBE.

Calculated volume ... 811 Å³/cell

Lattice parameters (Å, degrees): 12.1497 5.9137 12.6970 90.00 117.31 90.00
Space group C2/m (No. 12)
Inequivalent atoms, fractional coordinates:
1 La 0.0000 0.0000 0.0000 (multiplicity 2)
2 Tb 0.1318 0.5000 0.7748 (multiplicity 4)
3 Tb 0.2477 0.5000 0.3157 (multiplicity 4)
4 Y 0.0000 0.5000 0.0000 (multiplicity 2)
5 Y 0.0563 0.0000 0.3344 (multiplicity 4)
6 Y 0.1355 0.5000 0.5053 (multiplicity 4)
7 Y 0.2097 0.0000 0.9219 (multiplicity 4)

***

Entry B
An optimized crystal structure of LaTb4Y7. Source: Alexandria via LeMat-Bulk, functional GGA-PBE.

Calculated volume ... 396 Å³/cell

Lattice parameters (Å, degrees): 6.5745 6.8838 9.0929 85.67 76.59 81.73
Space group P-1 (No. 2)
Inequivalent atoms, fractional coordinates:
1 La 0.0000 0.0000 0.0000 (multiplicity 1)
2 Tb 0.1634 0.6109 0.3138 (multiplicity 2)
3 Tb 0.3598 0.1957 0.7115 (multiplicity 2)
4 Y 0.0000 0.5000 0.0000 (multiplicity 1)
5 Y 0.1918 0.1028 0.3861 (multiplicity 2)
6 Y 0.3180 0.6985 0.6416 (multiplicity 2)
7 Y 0.4829 0.2531 0.0484 (multiplicity 2)

***

Least stable = entry A

***

Entry A
An optimized crystal structure of La6TbY2. Source: Alexandria via LeMat-Bulk, functional GGA-PBE.

Calculated volume ... 635 Å³/cell

Lattice parameters (Å, degrees): 9.5190 17.9448 3.7146 90.00 90.00 90.00
Space group Cmmm (No. 65)
Inequivalent atoms, fractional coordinates:
1 La 0.1707 0.1657 0.0000 (multiplicity 8)
2 La 0.1789 0.0000 0.5000 (multiplicity 4)
3 Tb 0.0000 0.5000 0.0000 (multiplicity 2)
4 Y 0.0000 0.3272 0.5000 (multiplicity 4)

***

Entry B
An optimized crystal structure of La6TbY2. Source: Alexandria via LeMat-Bulk, functional GGA-PBE.

Calculated volume ... 354 Å³/cell

Lattice parameters (Å, degrees): 6.5509 6.5509 9.5237 90.00 90.00 120.00
Space group P-31m (No. 162)
Inequivalent atoms, fractional coordinates:
1 La 0.0000 0.3638 0.2972 (multiplicity 6)
2 Tb 0.0000 0.0000 0.5000 (multiplicity 1)
3 Y 0.3333 0.6667 0.0000 (multiplicity 2)

***

Least stable = entry B

***

Entry A
An optimized crystal structure of La4Tb4Y3. Source: Alexandria via LeMat-Bulk, functional GGA-PBE.

Calculated volume ... 769 Å³/cell

Lattice parameters (Å, degrees): 3.6613 9.5637 21.9607 90.00 90.00 90.00
Space group Immm (No. 71)
Inequivalent atoms, fractional coordinates:
1 La 0.0000 0.1692 0.1455 (multiplicity 8)
2 Tb 0.0000 0.3141 0.0000 (multiplicity 4)
3 Tb 0.0000 0.5000 0.2348 (multiplicity 4)
4 Y 0.0000 0.0000 0.3958 (multiplicity 4)
5 Y 0.0000 0.5000 0.5000 (multiplicity 2)

***

Entry B
An optimized crystal structure of La4Tb4Y3. Source: Alexandria via LeMat-Bulk, functional GGA-PBE.

Calculated volume ... 370 Å³/cell

Lattice parameters (Å, degrees): 3.5639 5.7577 18.3566 99.00 95.56 90.00
Space group P-1 (No. 2)
Inequivalent atoms, fractional coordinates:
1 La 0.0919 0.0912 0.1836 (multiplicity 2)
2 La 0.2307 0.7305 0.4613 (multiplicity 2)
3 Tb 0.0452 0.5443 0.0898 (multiplicity 2)
4 Tb 0.1820 0.1817 0.3635 (multiplicity 2)
5 Y 0.3633 0.3644 0.7274 (multiplicity 2)
6 Y 0.5000 0.0000 0.0000 (multiplicity 1)

***

Least stable = entry A

***

Entry A
An optimized crystal structure of LaTb5Y. Source: Alexandria via LeMat-Bulk, functional GGA-PBE.

Calculated volume ... 928 Å³/cell

Lattice parameters (Å, degrees): 11.8171 6.8285 12.2631 90.00 110.40 90.00
Space group C2/c (No. 15)
Inequivalent atoms, fractional coordinates:
1 La 0.0000 0.0291 0.2500 (multiplicity 4)
2 Tb 0.0000 0.4072 0.7500 (multiplicity 4)
3 Tb 0.0799 0.2728 0.4998 (multiplicity 8)
4 Tb 0.2191 0.3698 0.2483 (multiplicity 8)
5 Y 0.2500 0.2500 0.0000 (multiplicity 4)

***

Entry B
An optimized crystal structure of LaTb5Y. Source: Alexandria via LeMat-Bulk, functional GGA-PBE.

Calculated volume ... 598 Å³/cell

Lattice parameters (Å, degrees): 5.8062 8.6645 11.8783 90.00 90.00 90.00
Space group Immm (No. 71)
Inequivalent atoms, fractional coordinates:
1 La 0.0000 0.0000 0.0000 (multiplicity 2)
2 Tb 0.0000 0.0000 0.2510 (multiplicity 4)
3 Tb 0.0000 0.3201 0.5000 (multiplicity 4)
4 Tb 0.0000 0.5000 0.0000 (multiplicity 2)
5 Y 0.0000 0.0000 0.5000 (multiplicity 2)

***

Least stable = entry B

***

Entry A
An optimized crystal structure of La3Tb7Y. Source: Alexandria via LeMat-Bulk, functional GGA-PBE.

Calculated volume ... 388 Å³/cell

Lattice parameters (Å, degrees): 7.1343 7.1343 8.8129 90.00 90.00 120.00
Space group P3m1 (No. 156)
Inequivalent atoms, fractional coordinates:
1 La 0.0006 0.5003 0.0000 (multiplicity 3)
2 Tb 0.1674 0.3348 0.3402 (multiplicity 3)
3 Tb 0.3333 0.6667 0.6595 (multiplicity 1)
4 Tb 0.3342 0.1671 0.6613 (multiplicity 3)
5 Y 0.6667 0.3333 0.3414 (multiplicity 1)

***

Entry B
An optimized crystal structure of La3Tb7Y. Source: Alexandria via LeMat-Bulk, functional GGA-PBE.

Calculated volume ... 376 Å³/cell

Lattice parameters (Å, degrees): 5.5875 7.0333 10.1222 70.78 89.98 89.95
Space group P-1 (No. 2)
Inequivalent atoms, fractional coordinates:
1 La 0.0000 0.0000 0.0000 (multiplicity 1)
2 La 0.4998 0.2818 0.5038 (multiplicity 2)
3 Tb 0.0000 0.0000 0.5000 (multiplicity 1)
4 Tb 0.9998 0.4240 0.6711 (multiplicity 2)
5 Tb 0.4998 0.1468 0.2105 (multiplicity 2)
6 Tb 0.4998 0.3240 0.8649 (multiplicity 2)
7 Y 0.0000 0.5000 0.0000 (multiplicity 1)

***

Least stable = entry A